[1]
The following is a DFT calculation (PBE) of a relaxed structure of BaMn3Rh.

Values from the calculation:
The calculation puts the total DFT energy (no corrections) at -34.37 eV/cell. The calculation puts the formation energy at 0.48 eV/atom. Its calculated density is 5.46 Mg/m³.

Cell and atoms, written as extended XYZ:
```
5
Lattice="4.977 0.000 0.000 0.000 4.977 0.000 0.000 0.000 4.977" Properties=species:S:1:pos:R:3 pbc="T T T"
Ba 0.000 0.000 0.000
Mn 0.000 2.489 2.489
Mn 2.489 0.000 2.489
Mn 2.489 2.489 0.000
Rh 2.489 2.489 2.489
```

---

[2]
The following is a DFT calculation (PBE) of a relaxed structure of BaMn2Rh2.

Values from the calculation:
The calculation puts the total DFT energy (no corrections) at -66.11 eV/cell. The calculation puts the formation energy at 0.38 eV/atom. Its calculated density is 7.72 Mg/m³.

Cell and atoms, written as extended XYZ:
```
10
Lattice="4.311 0.000 0.000 0.000 4.311 0.000 0.000 0.000 10.488" Properties=species:S:1:pos:R:3 pbc="T T T"
Ba 0.000 0.000 0.000
Ba 2.155 2.155 5.244
Mn 0.000 2.155 2.622
Mn 0.000 2.155 7.866
Mn 2.155 0.000 2.622
Mn 2.155 0.000 7.866
Rh 0.000 0.000 3.657
Rh 0.000 0.000 6.831
Rh 2.155 2.155 1.587
Rh 2.155 2.155 8.901
```

---

[3]
The following is a DFT calculation (PBE) of a relaxed structure of Ba3MnRh.

Values from the calculation:
The calculation puts the total DFT energy (no corrections) at -20.83 eV/cell. The calculation puts the formation energy at 0.29 eV/atom. Its calculated density is 4.36 Mg/m³.

Cell and atoms, written as extended XYZ:
```
5
Lattice="6.011 0.000 0.000 0.000 6.011 0.000 0.000 0.000 6.011" Properties=species:S:1:pos:R:3 pbc="T T T"
Ba 0.000 0.000 3.006
Ba 0.000 3.006 0.000
Ba 3.006 0.000 0.000
Mn 3.006 3.006 3.006
Rh 0.000 0.000 0.000
```

---

[4]
The following is a DFT calculation (PBE) of a relaxed structure of Ba2MnRh2.

Values from the calculation:
The calculation puts the total DFT energy (no corrections) at -47.35 eV/cell. The calculation puts the formation energy at 0.81 eV/atom. Its calculated density is 6.79 Mg/m³.

Cell and atoms, written as extended XYZ:
```
10
Lattice="3.652 0.000 0.000 0.000 3.652 0.000 0.000 0.000 19.623" Properties=species:S:1:pos:R:3 pbc="T T T"
Ba 0.000 0.000 2.149
Ba 0.000 0.000 17.474
Ba 1.826 1.826 7.662
Ba 1.826 1.826 11.961
Mn 0.000 0.000 9.812
Mn 1.826 1.826 0.000
Rh 0.000 1.826 4.906
Rh 0.000 1.826 14.717
Rh 1.826 0.000 4.906
Rh 1.826 0.000 14.717
```

---

[5]
The following is a DFT calculation (PBE) of a relaxed structure of BaMn3Rh.

Values from the calculation:
The calculation puts the total DFT energy (no corrections) at -25.20 eV/cell. The calculation puts the formation energy at 2.32 eV/atom. Its calculated density is 5.55 Mg/m³.

Cell and atoms, written as extended XYZ:
```
5
Lattice="4.949 0.000 0.000 0.000 4.949 0.000 0.000 0.000 4.949" Properties=species:S:1:pos:R:3 pbc="T T T"
Ba 0.000 0.000 0.000
Mn 0.000 0.000 2.474
Mn 0.000 2.474 0.000
Mn 2.474 0.000 0.000
Rh 2.474 2.474 2.474
```

---

[6]
The following is a DFT calculation (PBE) of a relaxed structure of BaMnRh4.

Values from the calculation:
The calculation puts the total DFT energy (no corrections) at -39.31 eV/cell. The calculation puts the formation energy at 0.20 eV/atom. Its calculated density is 9.00 Mg/m³.

Cell and atoms, written as extended XYZ:
```
6
Lattice="0.000 3.819 3.819 3.819 0.000 3.819 3.819 3.819 0.000" Properties=species:S:1:pos:R:3 pbc="T T T"
Ba 0.000 0.000 0.000
Mn 5.728 5.728 5.728
Rh 2.872 2.872 2.872
Rh 4.766 4.766 2.872
Rh 4.766 2.872 4.766
Rh 2.872 4.766 4.766
```

---

[7]
The following is a DFT calculation (PBE) of a relaxed structure of BaMnRh4S8.

Values from the calculation:
The value obtained for the energy relative to the elements, uncorrected is -7.16 eV/f.u. The calculation puts the total DFT energy (no corrections) at -80.68 eV/cell. Its calculated density is 5.31 Mg/m³.

Cell and atoms, written as extended XYZ:
```
14
Lattice="3.746 2.163 5.541 -3.746 2.163 5.541 0.000 -4.325 5.541" Properties=species:S:1:pos:R:3 pbc="T T T"
Ba 0.000 0.000 0.000
Mn 0.000 0.000 8.994
Rh -1.920 -1.108 6.541
Rh 0.000 0.000 3.165
Rh 1.920 -1.108 6.541
Rh 0.000 2.217 6.541
S 0.000 -2.061 7.867
S -1.785 1.030 7.867
S 0.000 0.000 5.420
S -1.382 -0.798 10.656
S 1.382 -0.798 10.656
S 0.000 1.595 10.656
S 1.785 1.030 7.867
S 0.000 0.000 13.295
```

---

[8]
The following is a DFT calculation (PBE) of a relaxed structure of BaMn2RhSe8.

Values from the calculation:
The value obtained for the energy relative to the elements, uncorrected is -5.80 eV/f.u. The calculation puts the total DFT energy (no corrections) at -61.29 eV/cell. Its calculated density is 5.59 Mg/m³.

Cell and atoms, written as extended XYZ:
```
12
Lattice="6.150 0.000 0.000 -3.075 5.326 0.000 0.000 0.000 8.909" Properties=species:S:1:pos:R:3 pbc="T T T"
Ba 0.000 0.000 0.000
Mn 0.000 3.551 6.660
Mn 3.075 1.775 2.249
Rh 0.000 0.000 4.455
Se -1.989 3.607 2.989
Se 0.945 1.800 2.989
Se 0.000 3.551 8.874
Se 2.031 0.081 5.921
Se 1.043 5.245 2.989
Se 3.075 1.775 0.036
Se 2.130 3.526 5.921
Se 5.064 1.719 5.921
```

---

> Which value of total DFT energy (no corrections) does entry 1 give?

-34.37 eV/cell

---

> The highest calculated density belongs to which entry?

BaMnRh4

---

> Among the records above, which one has the highest total DFT energy (no corrections)?

Ba3MnRh